Record 1
## SmTlAuSe2 (GGA-PBE)

Data for a relaxed structure of SmTlAuSe2.

It has space group P2/c (No. 13), with a = 7.443 Å, b = 5.245 Å, c = 7.990 Å, α = 90.00°, β = 102.60° and γ = 90.00°. The inequivalent atoms are Sm at (0.000, 0.004, 0.250), Tl at (0.500, 0.323, 0.750), Au at (0.000, 0.500, 0.000) and Se at (0.259, 0.173, 0.051).

Its calculated density is 7.742 g/cm³. Its formation energy (no corrections) is -18.6 kcal/mol of atoms. Its magnetization is 0.00 μB/atom.


Record 2
## Sm5HoEr6 (GGA-PBE)

Data for a relaxed structure of Sm5HoEr6.

It has space group Immm (No. 71), with a = 5.036 Å, b = 10.022 Å, c = 15.125 Å, α = 90.00°, β = 90.00° and γ = 90.00°. The inequivalent atoms are Sm at (0.000, 0.000, 0.000), Sm at (0.000, 0.000, 0.334), Sm at (0.000, 0.500, 0.333), Ho at (0.000, 0.500, 0.000), Er at (0.000, 0.249, 0.500) and Er at (0.000, 0.251, 0.166).

Its calculated density is 8.354 g/cm³. Its magnetization is 0.00 μB/atom. The calculation puts the formation enthalpy at 0 K at 19.2 meV/atom.